This record from Alexandria describes an optimized crystal structure of MgAg2HAu. The functional is PBE.

Structure (CIF):
```
data_MgAg2HAu
_symmetry_space_group_name_H-M 'P 4/m m m'
_symmetry_Int_Tables_number 123
_symmetry_space_group_name_Hall '-P 4 2'
_cell_length_a 4.1113
_cell_length_b 4.1113
_cell_length_c 4.4068
_cell_angle_alpha 90.00
_cell_angle_beta 90.00
_cell_angle_gamma 90.00
loop_
_atom_site_label
_atom_site_fract_x
_atom_site_fract_y
_atom_site_fract_z
_atom_site_occupancy
Mg1 0.0000 0.0000 0.0000 1
Ag1 0.0000 0.5000 0.5000 1
H1 0.0000 0.0000 0.5000 1
Au1 0.5000 0.5000 0.0000 1
```

theoretical density = 9.76 Mg/m³
crystal system = tetragonal
calculated total energy = -2.85 eV/atom